[1]
Material: PrNi3
Method: DFT, PBE
State: optimized geometry

The calculated volume comes out at 123 Å³/cell. As for the energy of formation: 4 kJ/mol of formula units.

The space group is I4/mmm (No. 139) and the conventional cell measures 3.985, 3.985 and 7.722 Å, with angles of 90.00, 90.00 and 90.00 degrees. The inequivalent atoms are Pr at (0.000, 0.000, 0.000), Ni at (0.000, 0.000, 0.500) and Ni at (0.000, 0.500, 0.250).

=====

[2]
Material: HgB2Os
Method: DFT, PBE
State: optimized geometry

Its electronic total energy is -4.120 eV/atom. The calculated volume comes out at 215 Å³/cell.

The space group is F-43m (No. 216) and the conventional cell measures 5.989, 5.989 and 5.989 Å, with angles of 90.00, 90.00 and 90.00 degrees. The inequivalent atoms are Hg at (0.000, 0.000, 0.000), B at (0.000, 0.000, 0.500), B at (0.250, 0.250, 0.250) and Os at (0.250, 0.250, 0.750).

=====

[3]
Material: Li4Ga2FeIr
Method: DFT, PBE
State: optimized geometry

Its electronic total energy is -4.064 eV/atom. The calculated volume comes out at 105 Å³/cell.

The space group is P-4m2 (No. 115) and the conventional cell measures 4.191, 4.191 and 6.003 Å, with angles of 90.00, 90.00 and 90.00 degrees. The inequivalent atoms are Li at (0.000, 0.000, 0.000), Li at (0.000, 0.500, 0.749), Li at (0.500, 0.500, 0.500), Ga at (0.000, 0.500, 0.250), Fe at (0.000, 0.000, 0.500) and Ir at (0.500, 0.500, 0.000).

=====

[4]
Material: NaPuFe
Method: DFT, PBE
State: optimized geometry

Its electronic total energy is -6.111 eV/atom. The calculated volume comes out at 608 Å³/cell.

The space group is F-43m (No. 216) and the conventional cell measures 8.469, 8.469 and 8.469 Å, with angles of 90.00, 90.00 and 90.00 degrees. The inequivalent atoms are Na at (0.000, 0.000, 0.000), Pu at (0.250, 0.250, 0.250) and Fe at (0.250, 0.250, 0.750).